BePd3Au2 | PBE | relaxed

Cell: 4.181 12.556 6.964 Å, 90.00 90.00 90.00°
Space group Cmmm (No. 65)
Unique sites:
Be 0.000 0.161 0.000 [4 per cell]
Pd 0.000 0.000 0.233 [4 per cell]
Pd 0.000 0.322 0.207 [8 per cell]
Au 0.000 0.168 0.500 [4 per cell]
Au 0.000 0.500 0.000 [2 per cell]
Au 0.000 0.500 0.500 [2 per cell]



Be8PdAu3 | PBE | relaxed

Cell: 4.5654 4.5654 7.2332 Å, 90.00 90.00 120.00°
Space group P3m1 (No. 156)
Unique sites:
Be 0.0000 0.0000 0.0000 [1 per cell]
Be 0.0000 0.0000 0.5002 [1 per cell]
Be 0.1642 0.3284 0.2446 [3 per cell]
Be 0.3323 0.1661 0.7538 [3 per cell]
Pd 0.6667 0.3333 0.0497 [1 per cell]
Au 0.3333 0.6667 0.5570 [1 per cell]
Au 0.3333 0.6667 0.9476 [1 per cell]
Au 0.6667 0.3333 0.4353 [1 per cell]



Be2Pd6Au | PBE | relaxed

Cell: 13.460 2.830 9.290 Å, 90.00 133.17 90.00°
Space group C2/m (No. 12)
Unique sites:
Be 0.088 0.000 0.389 [4 per cell]
Pd 0.029 0.500 0.885 [4 per cell]
Pd 0.187 0.000 0.835 [4 per cell]
Pd 0.230 0.000 0.337 [4 per cell]
Au 0.000 0.500 0.500 [2 per cell]



Be4Pd2Au | PBE | relaxed

Cell: 4.245 4.245 11.656 Å, 90.00 90.00 90.00°
Space group I4/mmm (No. 139)
Unique sites:
Be 0.000 0.000 0.195 [4 per cell]
Be 0.000 0.500 0.000 [4 per cell]
Pd 0.000 0.000 0.381 [4 per cell]
Au 0.000 0.000 0.000 [2 per cell]



BePd8Au2 | PBE | relaxed

Cell: 14.689 4.533 5.091 Å, 90.00 91.91 90.00°
Space group C2/m (No. 12)
Unique sites:
Be 0.000 0.000 0.000 [2 per cell]
Pd 0.040 0.500 0.258 [4 per cell]
Pd 0.079 0.000 0.618 [4 per cell]
Pd 0.152 0.000 0.136 [4 per cell]
Pd 0.234 0.500 0.340 [4 per cell]
Au 0.155 0.500 0.822 [4 per cell]



Be4PdAu3 | PBE | relaxed

Cell: 2.958 2.958 11.589 Å, 90.00 90.00 90.00°
Space group P4/mmm (No. 123)
Unique sites:
Be 0.000 0.000 0.112 [2 per cell]
Be 0.000 0.000 0.375 [2 per cell]
Pd 0.500 0.500 0.000 [1 per cell]
Au 0.500 0.500 0.244 [2 per cell]
Au 0.500 0.500 0.500 [1 per cell]



no.,E_form (eV per atom),DFT total energy (eV/atom)
1,-0.206,-4.516
2,-0.186,-3.922
3,-0.225,-4.879
4,0.320,-3.761
5,-0.090,-4.801
6,-0.221,-3.962